No. 1
VASP calculation (PBE) on YErMgBi after structural relaxation.

Cell lengths 7.657, 7.657, 7.657 Å; angles 90.00, 90.00, 90.00 degrees
Space group F-43m (No. 216)
One atom of each set of equivalent atoms:
1 Y 0.000 0.000 0.000 [4 per cell]
2 Er 0.000 0.000 0.500 [4 per cell]
3 Mg 0.250 0.250 0.250 [4 per cell]
4 Bi 0.250 0.250 0.750 [4 per cell]

## Properties
**ΔH_f (0 K)**: -0.29 eV/atom

***

No. 2
VASP calculation (PBE) on Er6Mn2Bi after structural relaxation.

Cell lengths 9.635, 9.660, 9.932 Å; angles 90.00, 90.00, 90.00 degrees
Space group Immm (No. 71)
One atom of each set of equivalent atoms:
1 Er 0.000 0.225 0.233 [8 per cell]
2 Er 0.202 0.500 0.188 [8 per cell]
3 Er 0.215 0.313 0.500 [8 per cell]
4 Mn 0.000 0.390 0.000 [4 per cell]
5 Mn 0.000 0.500 0.393 [4 per cell]
6 Bi 0.000 0.000 0.000 [2 per cell]
7 Bi 0.000 0.000 0.500 [2 per cell]

## Properties
**ΔH_f (0 K)**: -0.16 eV/atom

***

The records above give, respectively, calculated total energy values of -4.417 -5.666 eV per atom.